(1)
# AlTeI3

A relaxed structure of AlTeI3 (PBE-GGA, Alexandria).

Formation energy (no corrections) (kJ per mole of atoms): 16.9
E (hartree per atom): -0.07835
DOS at the Fermi energy (states/eV/f.u.): 1.13
SG: No. 221
Energy relative to the lowest polymorph listed for this composition (eV/atom): 0.060

The structure in CIF format:
```
data_AlTeI3
_space_group_name_H-M_alt 'P 1'
_space_group_IT_number 1
_space_group_name_Hall 'P 1'
_cell_length_a 6.1348
_cell_length_b 6.1348
_cell_length_c 6.1348
_cell_angle_alpha 90.00
_cell_angle_beta 90.00
_cell_angle_gamma 90.00
loop_
_atom_site_label
_atom_site_fract_x
_atom_site_fract_y
_atom_site_fract_z
I1 0.0000 0.5000 0.0000
I2 0.0000 0.0000 0.5000
I3 0.5000 0.0000 0.0000
Te1 0.0000 0.0000 0.0000
Al1 0.5000 0.5000 0.5000
```


(2)
# CoHPt2

A relaxed structure of CoHPt2 (PBE-GGA, Alexandria).

E (hartree per atom): -0.19563
DOS at the Fermi energy (states/eV/f.u.): 3.20
SG: No. 166
Energy relative to the lowest polymorph listed for this composition (eV/atom): 0.137

The structure in CIF format:
```
data_CoHPt2
_space_group_name_H-M_alt 'P 1'
_space_group_IT_number 1
_space_group_name_Hall 'P 1'
_cell_length_a 2.7094
_cell_length_b 2.7094
_cell_length_c 7.9184
_cell_angle_alpha 80.15
_cell_angle_beta 80.15
_cell_angle_gamma 60.00
loop_
_atom_site_label
_atom_site_fract_x
_atom_site_fract_y
_atom_site_fract_z
H1 0.5000 0.5000 0.5000
Co1 0.0000 0.0000 0.0000
Pt1 0.1063 0.1063 0.6811
Pt2 0.8937 0.8937 0.3189
```